{"formula": "Li4TiCrO6", "functional": "PBE+U", "state": "relaxed", "magmom_total_mub_per_cell": 8.00, "de_polymorph_ev_per_atom": 0.000, "lattice_angstrom": [[5.0732, 0.0000, 0.0000], [-0.0220, 8.7826, 0.0000], [-0.8166, -1.4429, 9.6577]], "species": ["Li", "Li", "Li", "Li", "Li", "Li", "Li", "Li", "Li", "Li", "Li", "Li", "Li", "Li", "Li", "Li", "Ti", "Ti", "Ti", "Ti", "Cr", "Cr", "Cr", "Cr", "O", "O", "O", "O", "O", "O", "O", "O", "O", "O", "O", "O", "O", "O", "O", "O", "O", "O", "O", "O", "O", "O", "O", "O"], "fractional_positions": [[0.0000, 0.0000, 0.0000], [0.0051, 0.3342, 0.0013], [0.0239, 0.6633, 0.0006], [0.1355, 0.4570, 0.7526], [0.2560, 0.2513, 0.4993], [0.2646, 0.9076, 0.4968], [0.2694, 0.5815, 0.5009], [0.3872, 0.7063, 0.2495], [0.5062, 0.5009, 0.9985], [0.5158, 0.1571, 0.9971], [0.5280, 0.8272, 0.9973], [0.6351, 0.9539, 0.7479], [0.7463, 0.7486, 0.5003], [0.7699, 0.0790, 0.4991], [0.7756, 0.4130, 0.5033], [0.8856, 0.2034, 0.2493], [0.1328, 0.7928, 0.7458], [0.3803, 0.0381, 0.2445], [0.3980, 0.3720, 0.2489], [0.8982, 0.5417, 0.2567], [0.1410, 0.1287, 0.7509], [0.6331, 0.6187, 0.7505], [0.6418, 0.2836, 0.7519], [0.8802, 0.8710, 0.2501], [0.0543, 0.7242, 0.3656], [0.0805, 0.0438, 0.3612], [0.0848, 0.4039, 0.3676], [0.1850, 0.8630, 0.1378], [0.1907, 0.5094, 0.1350], [0.2227, 0.1867, 0.1352], [0.2957, 0.9780, 0.8614], [0.3276, 0.2927, 0.8625], [0.3439, 0.6532, 0.8650], [0.4369, 0.7592, 0.6334], [0.4483, 0.1226, 0.6375], [0.4817, 0.4393, 0.6416], [0.5478, 0.2244, 0.3631], [0.5846, 0.5472, 0.3646], [0.5922, 0.9016, 0.3639], [0.6856, 0.0091, 0.1327], [0.6907, 0.3665, 0.1364], [0.7279, 0.6925, 0.1388], [0.7992, 0.4697, 0.8624], [0.8282, 0.1564, 0.8645], [0.8319, 0.7936, 0.8621], [0.9369, 0.6145, 0.6386], [0.9496, 0.2551, 0.6362], [0.9761, 0.9412, 0.6370]]}